Entry 1:
PBE-GGA Zr2Ni12P7, optimized geometry; ΔE_f = -736 meV per atom; SG = P-6
1.0
9.010 0.000 0.000
-4.505 7.803 0.000
0.000 0.000 3.596
Zr Ni P
2 12 7
Cartesian
0.000 0.000 0.000
0.000 5.202 1.798
-0.802 2.238 1.798
-2.278 5.506 0.000
-2.166 7.378 1.798
0.875 3.077 0.000
2.723 1.371 0.000
2.941 3.307 1.798
4.675 0.894 1.798
1.402 7.022 0.000
2.968 5.990 1.798
4.331 4.759 0.000
6.461 1.672 0.000
5.898 3.602 1.798
-1.322 3.530 0.000
1.342 1.666 1.798
-0.786 7.183 0.000
2.109 4.892 0.000
4.505 2.601 0.000
6.895 0.329 1.798
5.277 5.807 1.798

***

Entry 2:
PBE-GGA TcTeRh2, optimized geometry; energy relative to the elements, uncorrected = 105 kJ/mol of formula units; SG = P4mm
1.0
3.054 0.000 0.000
0.000 3.054 0.000
0.000 0.000 7.062
Tc Te Rh
1 1 2
Cartesian
0.000 0.000 0.000
1.527 1.527 1.959
0.000 0.000 3.659
1.527 1.527 5.567

***

Entry 3:
PBE-GGA ErMg2Hg, optimized geometry; energy above the lowest structure with this stoichiometry = 13 meV per atom; ΔE_f = -238 meV per atom; SG = Cmcm
1.0
1.732 -11.135 0.000
1.732 11.135 0.000
0.000 0.000 4.950
Er Mg Hg
2 4 2
Cartesian
1.732 8.818 3.713
1.732 -8.818 1.238
1.732 5.217 1.238
1.732 0.695 3.713
1.732 -0.695 1.238
1.732 -5.217 3.713
1.732 3.518 3.713
1.732 -3.518 1.238

***

Entry 4:
PBE-GGA SiPbI2O, optimized geometry; energy above the lowest structure with this stoichiometry = 733 meV per atom; energy relative to the elements, uncorrected = 143 kJ/mol of formula units; SG = P4/mmm
1.0
6.395 0.000 0.000
0.000 6.395 0.000
0.000 0.000 4.215
Si Pb I O
1 1 2 1
Cartesian
0.000 0.000 0.000
3.198 3.198 2.108
0.000 3.198 2.108
3.198 0.000 2.108
3.198 3.198 0.000

***

Entry 5:
PBE-GGA Pm2GaAu6, optimized geometry; ΔE_f = -614 meV per atom; SG = P-3m1
1.0
6.387 0.000 0.000
-3.194 5.532 0.000
0.000 0.000 5.446
Pm Ga Au
2 1 6
Cartesian
0.000 3.688 1.744
3.194 1.844 3.702
0.000 0.000 2.723
0.000 2.013 4.398
-1.450 4.525 4.398
1.744 1.007 1.049
1.450 4.525 4.398
4.644 1.007 1.049
3.194 3.518 1.049

***

Entry 6:
PBE-GGA AcPmZnTc, optimized geometry; ΔE_f = 68 meV per atom; SG = F-43m
1.0
0.000 3.682 3.682
3.682 0.000 3.682
3.682 3.682 0.000
Ac Pm Zn Tc
1 1 1 1
Cartesian
0.000 0.000 0.000
3.682 3.682 3.682
5.522 5.522 5.522
1.841 1.841 1.841